Sr3Ag4Sn4: optimized geometry, PBE.

Results
- E_tot (eV per atom) = -3.35

a b c (Å): 4.156 4.880 15.316
angles (deg): 80.90 82.21 89.99
Positions (direct):
Sr (0.000, 0.000, 0.000)
Sr (0.145, 0.644, 0.710)
Sr (0.855, 0.356, 0.290)
Ag (0.313, 0.814, 0.375)
Ag (0.454, 0.453, 0.095)
Ag (0.546, 0.547, 0.905)
Ag (0.687, 0.186, 0.625)
Sn (0.255, 0.256, 0.489)
Sn (0.407, 0.907, 0.189)
Sn (0.593, 0.093, 0.811)
Sn (0.745, 0.744, 0.511)

***

YLuTe3: optimized geometry, PBE.

Results
- uncorrected formation energy (eV/atom) = -1.386

a b c (Å): 7.512 7.512 7.463
angles (deg): 99.49 99.49 120.37
Positions (direct):
Y (0.166, 0.834, 0.000)
Y (0.834, 0.166, 0.000)
Lu (0.000, 0.000, 0.500)
Lu (0.500, 0.500, 0.000)
Te (0.089, 0.415, 0.747)
Te (0.252, 0.252, 0.256)
Te (0.415, 0.089, 0.747)
Te (0.585, 0.911, 0.253)
Te (0.748, 0.748, 0.744)
Te (0.911, 0.585, 0.253)

***

RbTi2Te3: optimized geometry, PBE.

Results
- uncorrected formation energy (eV/atom) = -0.750

a b c (Å): 8.915 8.915 9.373
angles (deg): 90.00 90.00 150.11
Positions (direct):
Rb (0.230, 0.770, 0.750)
Rb (0.770, 0.230, 0.250)
Ti (0.000, 0.000, 0.000)
Ti (0.000, 0.000, 0.500)
Ti (0.482, 0.518, 0.750)
Ti (0.518, 0.482, 0.250)
Te (0.098, 0.902, 0.250)
Te (0.400, 0.600, 0.052)
Te (0.400, 0.600, 0.448)
Te (0.600, 0.400, 0.552)
Te (0.600, 0.400, 0.948)
Te (0.902, 0.098, 0.750)

***

Th6C2SeS3: optimized geometry, PBE.

Results
- uncorrected formation energy (eV/atom) = -1.330

a b c (Å): 8.940 8.940 8.143
angles (deg): 103.07 103.07 25.45
Positions (direct):
Th (0.014, 0.014, 0.267)
Th (0.326, 0.326, 0.435)
Th (0.327, 0.327, 0.881)
Th (0.673, 0.673, 0.119)
Th (0.674, 0.674, 0.565)
Th (0.986, 0.986, 0.733)
C (0.171, 0.171, 0.336)
C (0.829, 0.829, 0.664)
Se (0.500, 0.500, 0.000)
S (0.161, 0.161, 0.834)
S (0.500, 0.500, 0.500)
S (0.839, 0.839, 0.166)

***

HgTe2NF: optimized geometry, PBE.

Results
- uncorrected formation energy (eV/atom) = 1.056

a b c (Å): 5.024 5.024 4.070
angles (deg): 90.00 90.00 90.00
Positions (direct):
Hg (0.000, 0.000, 0.000)
Te (0.000, 0.500, 0.500)
Te (0.500, 0.000, 0.500)
N (0.500, 0.500, 0.000)
F (0.500, 0.500, 0.500)

***

Sr12AlAg6: optimized geometry, PBE.

Results
- E_tot (eV per atom) = -2.34

a b c (Å): 9.730 9.730 9.730
angles (deg): 109.47 109.47 109.47
Positions (direct):
Sr (0.112, 0.293, 0.819)
Sr (0.181, 0.474, 0.293)
Sr (0.181, 0.888, 0.707)
Sr (0.293, 0.181, 0.474)
Sr (0.293, 0.819, 0.112)
Sr (0.474, 0.293, 0.181)
Sr (0.526, 0.707, 0.819)
Sr (0.707, 0.181, 0.888)
Sr (0.707, 0.819, 0.526)
Sr (0.819, 0.112, 0.293)
Sr (0.819, 0.526, 0.707)
Sr (0.888, 0.707, 0.181)
Al (0.000, 0.000, 0.000)
Ag (0.125, 0.500, 0.625)
Ag (0.375, 0.875, 0.500)
Ag (0.500, 0.375, 0.875)
Ag (0.500, 0.625, 0.125)
Ag (0.625, 0.125, 0.500)
Ag (0.875, 0.500, 0.375)

***

CaPr4Nd5: optimized geometry, PBE.

Results
- E_tot (eV per atom) = -4.47

a b c (Å): 3.721 3.721 26.249
angles (deg): 90.00 90.00 90.00
Positions (direct):
Ca (0.000, 0.000, 0.000)
Pr (0.000, 0.000, 0.201)
Pr (0.000, 0.000, 0.400)
Pr (0.000, 0.000, 0.600)
Pr (0.000, 0.000, 0.799)
Nd (0.500, 0.500, 0.106)
Nd (0.500, 0.500, 0.302)
Nd (0.500, 0.500, 0.500)
Nd (0.500, 0.500, 0.698)
Nd (0.500, 0.500, 0.894)

***

Ba2ErGaS5: optimized geometry, PBE.

Results
- uncorrected formation energy (eV/atom) = -1.751

a b c (Å): 9.400 9.400 13.002
angles (deg): 90.00 90.00 155.14
Positions (direct):
Ba (0.120, 0.880, 0.500)
Ba (0.129, 0.871, 0.140)
Ba (0.871, 0.129, 0.640)
Ba (0.880, 0.120, 0.000)
Er (0.205, 0.795, 0.842)
Er (0.795, 0.205, 0.342)
Ga (0.440, 0.560, 0.245)
Ga (0.560, 0.440, 0.745)
S (0.048, 0.952, 0.844)
S (0.296, 0.704, 0.478)
S (0.317, 0.683, 0.195)
S (0.347, 0.653, 0.822)
S (0.500, 0.500, 0.095)
S (0.500, 0.500, 0.595)
S (0.653, 0.347, 0.322)
S (0.683, 0.317, 0.695)
S (0.704, 0.296, 0.978)
S (0.952, 0.048, 0.344)

***

Number 1: calculated density 6.39 g/cm3. Number 2: calculated density 6.26 g/cm3. Number 3: calculated density 5.05 g/cm3. Number 4: calculated density 9.71 g/cm3. Number 5: calculated density 7.90 g/cm3. Number 6: calculated density 4.04 g/cm3. Number 7: calculated density 6.05 g/cm3. Number 8: calculated density 4.62 g/cm3.